# 1
! GaTeN3 PBE optimized geometry; values from VASP
! **Uncorrected formation energy**: 1.574 eV per atom
! **V**: 59 Å³/cell
! **Calculated density**: 6.733 g/cm³
! **Crystal system**: cubic
&SYSTEM
  ibrav = 0, nat = 5, ntyp = 3
/
ATOMIC_SPECIES
Ga 69.72 Ga.upf
Te 127.60 Te.upf
N 14.01 N.upf
ATOMIC_POSITIONS crystal
Ga 0.000 0.000 0.000
Te 0.500 0.500 0.500
N 0.000 0.000 0.500
N 0.000 0.500 0.000
N 0.500 0.000 0.000
CELL_PARAMETERS angstrom
3.894 0.000 0.000
0.000 3.894 0.000
0.000 0.000 3.894

=====

# 2
! Ce3Sm2ThTe6 PBE optimized geometry; values from VASP
! **Uncorrected formation energy**: -1.318 eV per atom
! **V**: 379 Å³/cell
! **Calculated density**: 7.537 g/cm³
! **Crystal system**: monoclinic
&SYSTEM
  ibrav = 0, nat = 12, ntyp = 4
/
ATOMIC_SPECIES
Ce 140.12 Ce.upf
Sm 150.36 Sm.upf
Th 232.04 Th.upf
Te 127.60 Te.upf
ATOMIC_POSITIONS crystal
Ce 0.000 0.000 0.000
Ce 0.335 0.335 0.666
Ce 0.665 0.665 0.334
Sm 0.334 0.334 0.168
Sm 0.666 0.666 0.832
Th 0.000 0.000 0.500
Te 0.168 0.168 0.082
Te 0.168 0.168 0.587
Te 0.499 0.499 0.248
Te 0.501 0.501 0.752
Te 0.832 0.832 0.413
Te 0.832 0.832 0.918
CELL_PARAMETERS angstrom
9.754 -2.223 0.000
9.754 2.223 0.000
-2.117 0.000 8.731

=====

# 3
! CoReS2 PBE optimized geometry; values from VASP
! **Energy above the lowest structure with this stoichiometry**: 0 meV/atom
! **Uncorrected formation energy**: -0.056 eV per atom
! **V**: 133 Å³/cell
! **Calculated density**: 7.732 g/cm³
! **Crystal system**: tetragonal
&SYSTEM
  ibrav = 0, nat = 8, ntyp = 3
/
ATOMIC_SPECIES
Co 58.93 Co.upf
Re 186.21 Re.upf
S 32.06 S.upf
ATOMIC_POSITIONS crystal
Co 0.000 0.000 0.000
Co 0.750 0.250 0.500
Re 0.250 0.750 0.500
Re 0.500 0.500 0.000
S 0.108 0.625 0.983
S 0.375 0.358 0.483
S 0.642 0.125 0.017
S 0.875 0.892 0.517
CELL_PARAMETERS angstrom
-2.559 2.559 5.071
2.559 -2.559 5.071
2.559 2.559 -5.071

=====

# 4
! La4SmTm6 PBE optimized geometry; values from VASP
! **Formation energy**: 3.3 eV per formula unit
! **V**: 385 Å³/cell
! **Calculated density**: 7.416 g/cm³
! **Crystal system**: tetragonal
&SYSTEM
  ibrav = 0, nat = 11, ntyp = 3
/
ATOMIC_SPECIES
La 138.91 La.upf
Sm 150.36 Sm.upf
Tm 168.93 Tm.upf
ATOMIC_POSITIONS crystal
La 0.014 0.633 0.000
La 0.367 0.367 0.380
La 0.633 0.014 0.000
La 0.986 0.986 0.620
Sm 0.000 0.000 0.000
Tm 0.000 0.500 0.500
Tm 0.206 0.206 0.649
Tm 0.443 0.794 0.000
Tm 0.500 0.000 0.500
Tm 0.557 0.557 0.351
Tm 0.794 0.443 0.000
CELL_PARAMETERS angstrom
-3.373 3.373 8.461
3.373 -3.373 8.461
3.373 3.373 -8.461

=====

# 5
! Mg2TaPt PBE optimized geometry; values from VASP
! **Energy above the lowest structure with this stoichiometry**: 172 meV/atom
! **Formation energy**: -0.5 eV per formula unit
! **V**: 70 Å³/cell
! **Calculated density**: 10.103 g/cm³
! **Crystal system**: orthorhombic
&SYSTEM
  ibrav = 0, nat = 4, ntyp = 3
/
ATOMIC_SPECIES
Mg 24.30 Mg.upf
Ta 180.95 Ta.upf
Pt 195.08 Pt.upf
ATOMIC_POSITIONS crystal
Mg 0.000 0.000 0.230
Mg 0.000 0.000 0.770
Ta 0.500 0.500 0.500
Pt 0.500 0.500 0.000
CELL_PARAMETERS angstrom
2.858 0.000 0.000
0.000 4.088 0.000
0.000 0.000 5.974

=====

# 6
! LiTcP2 PBE optimized geometry; values from VASP
! **Energy above the lowest structure with this stoichiometry**: 2 meV/atom
! **Formation energy**: -1.7 eV per formula unit
! **V**: 58 Å³/cell
! **Calculated density**: 4.776 g/cm³
! **Crystal system**: tetragonal
&SYSTEM
  ibrav = 0, nat = 4, ntyp = 3
/
ATOMIC_SPECIES
Li 6.94 Li.upf
Tc 98.00 Tc.upf
P 30.97 P.upf
ATOMIC_POSITIONS crystal
Li 0.000 0.000 0.000
Tc 0.000 0.000 0.500
P 0.500 0.500 0.286
P 0.500 0.500 0.714
CELL_PARAMETERS angstrom
2.926 0.000 0.000
0.000 2.926 0.000
0.000 0.000 6.778

=====

# 7
! CsAgBiBr2 PBE optimized geometry; values from VASP
! **Uncorrected formation energy**: -0.406 eV per atom
! **V**: 189 Å³/cell
! **Calculated density**: 5.366 g/cm³
! **Crystal system**: tetragonal
&SYSTEM
  ibrav = 0, nat = 5, ntyp = 4
/
ATOMIC_SPECIES
Cs 132.91 Cs.upf
Ag 107.87 Ag.upf
Bi 208.98 Bi.upf
Br 79.90 Br.upf
ATOMIC_POSITIONS crystal
Cs 0.000 0.000 0.000
Ag 0.500 0.500 0.500
Bi 0.500 0.500 0.000
Br 0.000 0.500 0.500
Br 0.500 0.000 0.500
CELL_PARAMETERS angstrom
5.809 0.000 0.000
0.000 5.809 0.000
0.000 0.000 5.590

=====

# 8
! Sc2AlIrPd PBE optimized geometry; values from VASP
! **Energy above the lowest structure with this stoichiometry**: 235 meV/atom
! **Formation energy**: 1.7 eV per formula unit
! **V**: 114 Å³/cell
! **Calculated density**: 6.039 g/cm³
! **Crystal system**: tetragonal
&SYSTEM
  ibrav = 0, nat = 5, ntyp = 4
/
ATOMIC_SPECIES
Sc 44.96 Sc.upf
Al 26.98 Al.upf
Ir 192.22 Ir.upf
Pd 106.42 Pd.upf
ATOMIC_POSITIONS crystal
Sc 0.000 0.500 0.000
Sc 0.500 0.000 0.000
Al 0.000 0.000 0.500
Ir 0.500 0.500 0.500
Pd 0.500 0.500 0.000
CELL_PARAMETERS angstrom
4.812 0.000 0.000
0.000 4.812 0.000
0.000 0.000 4.934

=====

# 9
! V2HRuAu PBE optimized geometry; values from VASP
! **Energy above the lowest structure with this stoichiometry**: 141 meV/atom
! **V**: 60 Å³/cell
! **Calculated density**: 11.105 g/cm³
! **Crystal system**: tetragonal
&SYSTEM
  ibrav = 0, nat = 5, ntyp = 4
/
ATOMIC_SPECIES
V 50.94 V.upf
H 1.01 H.upf
Ru 101.07 Ru.upf
Au 196.97 Au.upf
ATOMIC_POSITIONS crystal
V 0.000 0.500 0.000
V 0.500 0.000 0.000
H 0.000 0.000 0.000
Ru 0.500 0.500 0.500
Au 0.000 0.000 0.500
CELL_PARAMETERS angstrom
3.888 0.000 0.000
0.000 3.888 0.000
0.000 0.000 3.966

=====

# 10
! HfP2CCl PBE optimized geometry; values from VASP
! **Energy above the lowest structure with this stoichiometry**: 0 meV/atom
! **Uncorrected formation energy**: 0.654 eV per atom
! **V**: 73 Å³/cell
! **Calculated density**: 6.581 g/cm³
! **Crystal system**: tetragonal
&SYSTEM
  ibrav = 0, nat = 5, ntyp = 4
/
ATOMIC_SPECIES
Hf 178.49 Hf.upf
P 30.97 P.upf
C 12.01 C.upf
Cl 35.45 Cl.upf
ATOMIC_POSITIONS crystal
Hf 0.000 0.000 0.000
P 0.000 0.500 0.500
P 0.500 0.000 0.500
C 0.500 0.500 0.500
Cl 0.500 0.500 0.000
CELL_PARAMETERS angstrom
4.094 0.000 0.000
0.000 4.094 0.000
0.000 0.000 4.334

=====

# 11
! Ca6GaAu2 PBE optimized geometry; values from VASP
! **Formation energy**: -4.4 eV per formula unit
! **V**: 271 Å³/cell
! **Calculated density**: 4.321 g/cm³
! **Crystal system**: orthorhombic
&SYSTEM
  ibrav = 0, nat = 9, ntyp = 3
/
ATOMIC_SPECIES
Ca 40.08 Ca.upf
Ga 69.72 Ga.upf
Au 196.97 Au.upf
ATOMIC_POSITIONS crystal
Ca 0.038 0.300 0.700
Ca 0.300 0.038 0.962
Ca 0.365 0.635 0.365
Ca 0.635 0.365 0.635
Ca 0.700 0.962 0.038
Ca 0.962 0.700 0.300
Ga 0.000 0.000 0.000
Au 0.339 0.339 0.661
Au 0.661 0.661 0.339
CELL_PARAMETERS angstrom
0.000 6.572 7.880
2.612 0.000 7.880
2.612 6.572 0.000

=====

# 12
! TmThMnCd PBE optimized geometry; values from VASP
! **Formation energy**: 0.3 eV per formula unit
! **V**: 99 Å³/cell
! **Calculated density**: 9.543 g/cm³
! **Crystal system**: cubic
&SYSTEM
  ibrav = 0, nat = 4, ntyp = 4
/
ATOMIC_SPECIES
Tm 168.93 Tm.upf
Th 232.04 Th.upf
Mn 54.94 Mn.upf
Cd 112.41 Cd.upf
ATOMIC_POSITIONS crystal
Tm 0.000 0.000 0.000
Th 0.500 0.500 0.500
Mn 0.250 0.250 0.250
Cd 0.750 0.750 0.750
CELL_PARAMETERS angstrom
0.000 3.670 3.670
3.670 0.000 3.670
3.670 3.670 0.000

=====

# 13
! GdDyBe PBE optimized geometry; values from VASP
! **Formation energy**: 0.3 eV per formula unit
! **V**: 73 Å³/cell
! **Calculated density**: 7.507 g/cm³
! **Crystal system**: tetragonal
&SYSTEM
  ibrav = 0, nat = 3, ntyp = 3
/
ATOMIC_SPECIES
Gd 157.25 Gd.upf
Dy 162.50 Dy.upf
Be 9.01 Be.upf
ATOMIC_POSITIONS crystal
Gd 0.000 0.000 0.000
Dy 0.271 0.271 0.000
Be 0.639 0.639 0.000
CELL_PARAMETERS angstrom
-1.738 1.738 6.016
1.738 -1.738 6.016
1.738 1.738 -6.016

=====

# 14
! PmBrCl3 PBE optimized geometry; values from VASP
! **Energy above the lowest structure with this stoichiometry**: 0 meV/atom
! **Uncorrected formation energy**: -1.693 eV per atom
! **V**: 386 Å³/cell
! **Calculated density**: 2.853 g/cm³
! **Crystal system**: monoclinic
&SYSTEM
  ibrav = 0, nat = 10, ntyp = 3
/
ATOMIC_SPECIES
Pm 145.00 Pm.upf
Br 79.90 Br.upf
Cl 35.45 Cl.upf
ATOMIC_POSITIONS crystal
Pm 0.135 0.135 0.400
Pm 0.865 0.865 0.600
Br 0.427 0.427 0.057
Br 0.573 0.573 0.943
Cl 0.064 0.064 0.650
Cl 0.217 0.217 0.193
Cl 0.329 0.329 0.549
Cl 0.671 0.671 0.451
Cl 0.783 0.783 0.807
Cl 0.936 0.936 0.350
CELL_PARAMETERS angstrom
6.587 -2.754 0.000
6.587 2.754 0.000
-0.621 0.000 10.628

=====

# 15
! CdRe2As PBE optimized geometry; values from VASP
! **Energy above the lowest structure with this stoichiometry**: 224 meV/atom
! **Formation energy**: 1.7 eV per formula unit
! **V**: 74 Å³/cell
! **Calculated density**: 12.509 g/cm³
! **Crystal system**: orthorhombic
&SYSTEM
  ibrav = 0, nat = 4, ntyp = 3
/
ATOMIC_SPECIES
Cd 112.41 Cd.upf
Re 186.21 Re.upf
As 74.92 As.upf
ATOMIC_POSITIONS crystal
Cd 0.000 0.000 0.000
Re 0.000 0.000 0.547
Re 0.500 0.500 0.749
As 0.500 0.500 0.335
CELL_PARAMETERS angstrom
1.447 -2.403 0.000
1.447 2.403 0.000
0.000 0.000 10.688

=====

# 16
! TlSn2AsBr8 PBE optimized geometry; values from VASP
! **Uncorrected formation energy**: -0.623 eV per atom
! **V**: 442 Å³/cell
! **Calculated density**: 4.345 g/cm³
! **Crystal system**: triclinic
&SYSTEM
  ibrav = 0, nat = 12, ntyp = 4
/
ATOMIC_SPECIES
Tl 204.38 Tl.upf
Sn 118.71 Sn.upf
As 74.92 As.upf
Br 79.90 Br.upf
ATOMIC_POSITIONS crystal
Tl 0.000 0.000 0.000
Sn 0.480 0.481 0.257
Sn 0.520 0.519 0.743
As 0.000 0.000 0.500
Br 0.226 0.304 0.481
Br 0.230 0.836 0.297
Br 0.239 0.848 0.709
Br 0.278 0.363 0.025
Br 0.722 0.637 0.975
Br 0.761 0.152 0.291
Br 0.770 0.164 0.703
Br 0.774 0.696 0.519
CELL_PARAMETERS angstrom
6.810 0.000 0.000
0.303 7.161 0.000
0.275 0.542 9.059

=====

# 17
! DyIn3Au2 PBE optimized geometry; values from VASP
! **Formation energy**: -2.6 eV per formula unit
! **V**: 278 Å³/cell
! **Calculated density**: 10.747 g/cm³
! **Crystal system**: orthorhombic
&SYSTEM
  ibrav = 0, nat = 12, ntyp = 3
/
ATOMIC_SPECIES
Dy 162.50 Dy.upf
In 114.82 In.upf
Au 196.97 Au.upf
ATOMIC_POSITIONS crystal
Dy 0.000 0.078 0.000
Dy 0.000 0.922 0.500
In 0.000 0.309 0.617
In 0.000 0.691 0.117
In 0.500 0.198 0.334
In 0.500 0.406 0.941
In 0.500 0.594 0.441
In 0.500 0.802 0.834
Au 0.000 0.381 0.225
Au 0.000 0.619 0.725
Au 0.500 0.113 0.714
Au 0.500 0.887 0.214
CELL_PARAMETERS angstrom
4.401 0.000 0.000
0.000 8.459 0.000
0.000 0.000 7.479

=====

# 18
! CaTm2Cd6 PBE optimized geometry; values from VASP
! **Formation energy**: -2.7 eV per formula unit
! **V**: 221 Å³/cell
! **Calculated density**: 7.917 g/cm³
! **Crystal system**: hexagonal
&SYSTEM
  ibrav = 0, nat = 9, ntyp = 3
/
ATOMIC_SPECIES
Ca 40.08 Ca.upf
Tm 168.93 Tm.upf
Cd 112.41 Cd.upf
ATOMIC_POSITIONS crystal
Ca 0.000 0.000 0.000
Tm 0.333 0.667 0.000
Tm 0.667 0.333 0.000
Cd 0.000 0.335 0.500
Cd 0.000 0.665 0.500
Cd 0.335 0.000 0.500
Cd 0.335 0.335 0.500
Cd 0.665 0.000 0.500
Cd 0.665 0.665 0.500
CELL_PARAMETERS angstrom
8.613 0.000 0.000
-4.306 7.459 0.000
0.000 0.000 3.436

=====

# 19
! KGa2Hg2Br6 PBE optimized geometry; values from VASP
! **Uncorrected formation energy**: -0.688 eV per atom
! **V**: 482 Å³/cell
! **Calculated density**: 3.647 g/cm³
! **Crystal system**: trigonal
&SYSTEM
  ibrav = 0, nat = 11, ntyp = 4
/
ATOMIC_SPECIES
K 39.10 K.upf
Ga 69.72 Ga.upf
Hg 200.59 Hg.upf
Br 79.90 Br.upf
ATOMIC_POSITIONS crystal
K 0.000 0.000 0.000
Ga 0.455 0.455 0.455
Ga 0.545 0.545 0.545
Hg 0.195 0.195 0.195
Hg 0.805 0.805 0.805
Br 0.244 0.742 0.742
Br 0.258 0.258 0.756
Br 0.258 0.756 0.258
Br 0.742 0.244 0.742
Br 0.742 0.742 0.244
Br 0.756 0.258 0.258
CELL_PARAMETERS angstrom
3.918 2.262 9.070
-3.918 2.262 9.070
0.000 -4.524 9.070

=====

# 20
! SrBe2Cu PBE optimized geometry; values from VASP
! **Energy above the lowest structure with this stoichiometry**: 2 meV/atom
! **Formation energy**: 0.2 eV per formula unit
! **V**: 72 Å³/cell
! **Calculated density**: 3.885 g/cm³
! **Crystal system**: monoclinic
&SYSTEM
  ibrav = 0, nat = 4, ntyp = 3
/
ATOMIC_SPECIES
Sr 87.62 Sr.upf
Be 9.01 Be.upf
Cu 63.55 Cu.upf
ATOMIC_POSITIONS crystal
Sr 0.000 0.000 0.000
Be 0.500 0.500 0.500
Be 0.819 0.819 0.458
Cu 0.182 0.182 0.548
CELL_PARAMETERS angstrom
3.408 -1.964 0.000
3.408 1.964 0.000
-2.166 0.000 5.403

=====

# 21
! Hf3ZrPa2N6 PBE optimized geometry; values from VASP
! **Uncorrected formation energy**: -1.692 eV per atom
! **V**: 155 Å³/cell
! **Calculated density**: 12.550 g/cm³
! **Crystal system**: monoclinic
&SYSTEM
  ibrav = 0, nat = 12, ntyp = 4
/
ATOMIC_SPECIES
Hf 178.49 Hf.upf
Zr 91.22 Zr.upf
Pa 231.04 Pa.upf
N 14.01 N.upf
ATOMIC_POSITIONS crystal
Hf 0.000 0.000 0.000
Hf 0.337 0.337 0.667
Hf 0.663 0.663 0.333
Zr 0.000 0.000 0.500
Pa 0.334 0.334 0.168
Pa 0.666 0.666 0.832
N 0.159 0.159 0.102
N 0.170 0.170 0.569
N 0.496 0.496 0.759
N 0.504 0.504 0.241
N 0.830 0.830 0.431
N 0.841 0.841 0.898
CELL_PARAMETERS angstrom
7.286 -1.639 0.000
7.286 1.639 0.000
-1.723 0.000 6.497

=====

# 22
! MnSbTe2 PBE optimized geometry; values from VASP
! **Uncorrected formation energy**: 0.070 eV per atom
! **V**: 105 Å³/cell
! **Calculated density**: 6.853 g/cm³
! **Crystal system**: trigonal
&SYSTEM
  ibrav = 0, nat = 4, ntyp = 3
/
ATOMIC_SPECIES
Mn 54.94 Mn.upf
Sb 121.76 Sb.upf
Te 127.60 Te.upf
ATOMIC_POSITIONS crystal
Mn 0.000 0.000 0.000
Sb 0.269 0.269 0.269
Te 0.517 0.517 0.517
Te 0.725 0.725 0.725
CELL_PARAMETERS angstrom
1.837 1.061 8.952
-1.837 1.061 8.952
0.000 -2.121 8.952

=====

# 23
! Hg3BrF5 PBE optimized geometry; values from VASP
! **Energy above the lowest structure with this stoichiometry**: 4 meV/atom
! **Uncorrected formation energy**: -1.229 eV per atom
! **V**: 363 Å³/cell
! **Calculated density**: 7.115 g/cm³
! **Crystal system**: monoclinic
&SYSTEM
  ibrav = 0, nat = 18, ntyp = 3
/
ATOMIC_SPECIES
Hg 200.59 Hg.upf
Br 79.90 Br.upf
F 19.00 F.upf
ATOMIC_POSITIONS crystal
Hg 0.000 0.000 0.000
Hg 0.000 0.000 0.500
Hg 0.327 0.327 0.337
Hg 0.369 0.369 0.786
Hg 0.631 0.631 0.214
Hg 0.673 0.673 0.663
Br 0.140 0.140 0.804
Br 0.860 0.860 0.196
F 0.037 0.666 0.822
F 0.232 0.232 0.516
F 0.316 0.684 0.500
F 0.334 0.963 0.178
F 0.422 0.422 0.151
F 0.578 0.578 0.849
F 0.666 0.037 0.822
F 0.684 0.316 0.500
F 0.768 0.768 0.484
F 0.963 0.334 0.178
CELL_PARAMETERS angstrom
5.537 -3.844 0.000
5.537 3.844 0.000
-3.927 0.000 8.515

=====

# 24
! HgTe2P PBE optimized geometry; values from VASP
! **Energy above the lowest structure with this stoichiometry**: 405 meV/atom
! **Uncorrected formation energy**: 0.531 eV per atom
! **V**: 97 Å³/cell
! **Calculated density**: 8.359 g/cm³
! **Crystal system**: cubic
&SYSTEM
  ibrav = 0, nat = 4, ntyp = 3
/
ATOMIC_SPECIES
Hg 200.59 Hg.upf
Te 127.60 Te.upf
P 30.97 P.upf
ATOMIC_POSITIONS crystal
Hg 0.000 0.000 0.000
Te 0.250 0.250 0.250
Te 0.750 0.750 0.750
P 0.500 0.500 0.500
CELL_PARAMETERS angstrom
0.000 3.643 3.643
3.643 0.000 3.643
3.643 3.643 0.000

=====

# 25
! MgTcOs2 PBE optimized geometry; values from VASP
! **Formation energy**: 1.0 eV per formula unit
! **V**: 59 Å³/cell
! **Calculated density**: 14.121 g/cm³
! **Crystal system**: monoclinic
&SYSTEM
  ibrav = 0, nat = 4, ntyp = 3
/
ATOMIC_SPECIES
Mg 24.30 Mg.upf
Tc 98.00 Tc.upf
Os 190.23 Os.upf
ATOMIC_POSITIONS crystal
Mg 0.000 0.000 0.000
Tc 0.000 0.000 0.500
Os 0.496 0.500 0.248
Os 0.504 0.500 0.752
CELL_PARAMETERS angstrom
2.777 0.000 0.000
0.000 3.984 0.000
-0.009 0.000 5.343